First-principles (GGA-PBE) data for Pm4MgPd5 after structural relaxation, as listed in Alexandria.

Output
ΔE_f	-742	meV/atom
energy	-0.3968	Ry/atom

CIF file:
```
data_Pm4MgPd5
_chemical_formula_sum 'Pm4 Mg1 Pd5'
_space_group_name_H-M_alt 'P 1'
_space_group_IT_number 1
_cell_length_a 3.517
_cell_length_b 3.517
_cell_length_c 17.721
_cell_angle_alpha 90.00
_cell_angle_beta 90.00
_cell_angle_gamma 90.00
loop_
_space_group_symop_operation_xyz
'x,y,z'
loop_
_atom_site_label
_atom_site_fract_x
_atom_site_fract_y
_atom_site_fract_z
Pm1 0.000 0.000 0.105
Pm2 0.000 0.000 0.316
Pm3 0.000 0.000 0.684
Pm4 0.000 0.000 0.895
Mg1 0.000 0.000 0.500
Pd1 0.500 0.500 0.000
Pd2 0.500 0.500 0.210
Pd3 0.500 0.500 0.418
Pd4 0.500 0.500 0.582
Pd5 0.500 0.500 0.790
```



First-principles (GGA-PBE) data for Pm7MgPd4 after structural relaxation, as listed in Alexandria.

Output
ΔE_f	-334	meV/atom
energy	-0.3652	Ry/atom

CIF file:
```
data_Pm7MgPd4
_chemical_formula_sum 'Pm7 Mg1 Pd4'
_space_group_name_H-M_alt 'P 1'
_space_group_IT_number 1
_cell_length_a 7.422
_cell_length_b 7.422
_cell_length_c 9.980
_cell_angle_alpha 121.05
_cell_angle_beta 121.05
_cell_angle_gamma 45.06
loop_
_space_group_symop_operation_xyz
'x,y,z'
loop_
_atom_site_label
_atom_site_fract_x
_atom_site_fract_y
_atom_site_fract_z
Pm1 0.000 0.000 0.000
Pm2 0.182 0.182 0.634
Pm3 0.301 0.301 0.112
Pm4 0.424 0.424 0.618
Pm5 0.576 0.576 0.382
Pm6 0.699 0.699 0.888
Pm7 0.818 0.818 0.366
Mg1 0.500 0.500 0.000
Pd1 0.054 0.054 0.768
Pd2 0.198 0.198 0.334
Pd3 0.802 0.802 0.666
Pd4 0.946 0.946 0.232
```



First-principles (GGA-PBE) data for Pm3MgPd4 after structural relaxation, as listed in Alexandria.

Output
ΔE_f	-549	meV/atom
energy	-0.3768	Ry/atom

CIF file:
```
data_Pm3MgPd4
_chemical_formula_sum 'Pm3 Mg1 Pd4'
_space_group_name_H-M_alt 'P 1'
_space_group_IT_number 1
_cell_length_a 6.639
_cell_length_b 6.639
_cell_length_c 5.929
_cell_angle_alpha 116.38
_cell_angle_beta 116.38
_cell_angle_gamma 53.40
loop_
_space_group_symop_operation_xyz
'x,y,z'
loop_
_atom_site_label
_atom_site_fract_x
_atom_site_fract_y
_atom_site_fract_z
Pm1 0.000 0.000 0.000
Pm2 0.295 0.295 0.553
Pm3 0.590 0.590 0.590
Mg1 0.795 0.795 0.340
Pd1 0.055 0.055 0.558
Pd2 0.071 0.518 0.008
Pd3 0.518 0.071 0.008
Pd4 0.535 0.535 0.039
```



First-principles (GGA-PBE) data for PmMg3Pd after structural relaxation, as listed in Alexandria.

Output
ΔE_f	-236	meV/atom
energy	-0.2338	Ry/atom
relative energy among the computed polymorphs	150.4	meV per atom

CIF file:
```
data_PmMg3Pd
_chemical_formula_sum 'Pm1 Mg3 Pd1'
_space_group_name_H-M_alt 'P 1'
_space_group_IT_number 1
_cell_length_a 4.988
_cell_length_b 4.988
_cell_length_c 4.988
_cell_angle_alpha 90.00
_cell_angle_beta 90.00
_cell_angle_gamma 90.00
loop_
_space_group_symop_operation_xyz
'x,y,z'
loop_
_atom_site_label
_atom_site_fract_x
_atom_site_fract_y
_atom_site_fract_z
Pm1 0.000 0.000 0.000
Mg1 0.000 0.500 0.500
Mg2 0.500 0.000 0.500
Mg3 0.500 0.500 0.000
Pd1 0.500 0.500 0.500
```



First-principles (GGA-PBE) data for Pm2Mg3Pd2 after structural relaxation, as listed in Alexandria.

Output
ΔE_f	-520	meV/atom
energy	-0.2973	Ry/atom
relative energy among the computed polymorphs	47.1	meV per atom

CIF file:
```
data_Pm2Mg3Pd2
_chemical_formula_sum 'Pm2 Mg3 Pd2'
_space_group_name_H-M_alt 'P 1'
_space_group_IT_number 1
_cell_length_a 5.676
_cell_length_b 5.676
_cell_length_c 7.654
_cell_angle_alpha 95.55
_cell_angle_beta 95.55
_cell_angle_gamma 42.17
loop_
_space_group_symop_operation_xyz
'x,y,z'
loop_
_atom_site_label
_atom_site_fract_x
_atom_site_fract_y
_atom_site_fract_z
Pm1 0.125 0.125 0.354
Pm2 0.875 0.875 0.646
Mg1 0.183 0.183 0.865
Mg2 0.500 0.500 0.000
Mg3 0.817 0.817 0.135
Pd1 0.408 0.408 0.350
Pd2 0.592 0.592 0.650
```



First-principles (GGA-PBE) data for Pm3Mg2Pd4 after structural relaxation, as listed in Alexandria.

Output
ΔE_f	-695	meV/atom
energy	-0.3632	Ry/atom
relative energy among the computed polymorphs	15.5	meV per atom

CIF file:
```
data_Pm3Mg2Pd4
_chemical_formula_sum 'Pm3 Mg2 Pd4'
_space_group_name_H-M_alt 'P 1'
_space_group_IT_number 1
_cell_length_a 6.360
_cell_length_b 6.360
_cell_length_c 9.021
_cell_angle_alpha 115.99
_cell_angle_beta 115.99
_cell_angle_gamma 39.07
loop_
_space_group_symop_operation_xyz
'x,y,z'
loop_
_atom_site_label
_atom_site_fract_x
_atom_site_fract_y
_atom_site_fract_z
Pm1 0.000 0.000 0.000
Pm2 0.367 0.367 0.295
Pm3 0.633 0.633 0.705
Mg1 0.326 0.326 0.654
Mg2 0.674 0.674 0.346
Pd1 0.072 0.072 0.413
Pd2 0.295 0.295 0.934
Pd3 0.705 0.705 0.066
Pd4 0.928 0.928 0.587
```



First-principles (GGA-PBE) data for Pm2MgPd after structural relaxation, as listed in Alexandria.

Output
ΔE_f	-338	meV/atom
energy	-0.3241	Ry/atom
relative energy among the computed polymorphs	86.9	meV per atom

CIF file:
```
data_Pm2MgPd
_chemical_formula_sum 'Pm2 Mg1 Pd1'
_space_group_name_H-M_alt 'P 1'
_space_group_IT_number 1
_cell_length_a 5.266
_cell_length_b 5.266
_cell_length_c 5.266
_cell_angle_alpha 60.00
_cell_angle_beta 60.00
_cell_angle_gamma 60.00
loop_
_space_group_symop_operation_xyz
'x,y,z'
loop_
_atom_site_label
_atom_site_fract_x
_atom_site_fract_y
_atom_site_fract_z
Pm1 0.250 0.250 0.250
Pm2 0.750 0.750 0.750
Mg1 0.000 0.000 0.000
Pd1 0.500 0.500 0.500
```



First-principles (GGA-PBE) data for PmMgPd after structural relaxation, as listed in Alexandria.

Output
ΔE_f	-630	meV/atom
energy	-0.3290	Ry/atom
relative energy among the computed polymorphs	21.9	meV per atom

CIF file:
```
data_PmMgPd
_chemical_formula_sum 'Pm6 Mg6 Pd6'
_space_group_name_H-M_alt 'P 1'
_space_group_IT_number 1
_cell_length_a 13.598
_cell_length_b 4.043
_cell_length_c 7.655
_cell_angle_alpha 90.00
_cell_angle_beta 90.00
_cell_angle_gamma 90.00
loop_
_space_group_symop_operation_xyz
'x,y,z'
loop_
_atom_site_label
_atom_site_fract_x
_atom_site_fract_y
_atom_site_fract_z
Pm1 0.043 0.000 0.233
Pm2 0.250 0.000 0.858
Pm3 0.457 0.000 0.233
Pm4 0.543 0.000 0.767
Pm5 0.750 0.000 0.142
Pm6 0.957 0.000 0.767
Mg1 0.127 0.500 0.568
Mg2 0.250 0.500 0.211
Mg3 0.373 0.500 0.568
Mg4 0.627 0.500 0.432
Mg5 0.750 0.500 0.789
Mg6 0.873 0.500 0.432
Pd1 0.099 0.500 0.944
Pd2 0.250 0.000 0.450
Pd3 0.401 0.500 0.944
Pd4 0.599 0.500 0.056
Pd5 0.750 0.000 0.550
Pd6 0.901 0.500 0.056
```